Record 1
First-principles (PBE) data for a geometry-optimized CsLiNd2O4 structure, as listed in Alexandria.

a = 6.4767 Å, b = 6.4767 Å, c = 12.1160 Å
α = 90.00°, β = 90.00°, γ = 147.13°
With the nearest neighbours (Å) after each atom.
Element x y z (fractional)
Cs: 0.0986 0.9014 0.7500  8 O 3.18-3.27, 3 Li 3.27-3.50
Cs: 0.9014 0.0986 0.2500  8 O 3.18-3.27, 3 Li 3.27-3.50
Li: 0.1832 0.8168 0.2500  4 O 2.00-2.04
Li: 0.8168 0.1832 0.7500  4 O 2.00-2.04
Nd: 0.3654 0.6346 0.5572  6 O 2.36-2.58
Nd: 0.3654 0.6346 0.9428  6 O 2.36-2.58
Nd: 0.6346 0.3654 0.0572  6 O 2.36-2.58
Nd: 0.6346 0.3654 0.4428  6 O 2.36-2.58
O: 0.0000 0.0000 0.0000  4 Nd 2.58
O: 0.0000 0.0000 0.5000  4 Nd 2.58
O: 0.2471 0.7529 0.0986  1 Li 2.00
O: 0.2471 0.7529 0.4014  1 Li 2.00
O: 0.3898 0.6102 0.7500  2 Li 2.04
O: 0.6102 0.3898 0.2500  2 Li 2.04
O: 0.7529 0.2471 0.5986  1 Li 2.00
O: 0.7529 0.2471 0.9014  1 Li 2.00

Computed properties:
symmetry = Cmcm (63)
energy = -6.68 eV/atom
ΔE_f (raw) = -2.66 eV/atom
total magnetization = 0.00 μB per cell

Record 2
First-principles (PBE) data for a geometry-optimized CsLiNdS2 structure, as listed in Alexandria.

a = 9.1472 Å, b = 9.1472 Å, c = 5.2068 Å
α = 90.00°, β = 90.00°, γ = 126.32°
With the nearest neighbours (Å) after each atom.
Element x y z (fractional)
Cs: 0.2500 0.7500 0.8248  4 S 3.51-3.60
Cs: 0.7500 0.2500 0.1752  4 S 3.51-3.60
Li: 0.0000 0.0000 0.0000  2 S 2.41
Li: 0.5000 0.5000 0.0000  2 S 2.41
Nd: 0.2500 0.2500 0.5000  4 S 2.78
Nd: 0.7500 0.7500 0.5000  4 S 2.78
S: 0.1018 0.8982 0.3360  1 Li 2.41
S: 0.3982 0.6018 0.3360  1 Li 2.41
S: 0.6018 0.3982 0.6640  1 Li 2.41
S: 0.8982 0.1018 0.6640  1 Li 2.41

Computed properties:
symmetry = Cmme (67)
energy = -4.40 eV/atom
ΔE_f (raw) = -1.24 eV/atom
total magnetization = 0.00 μB per cell

Record 3
First-principles (PBE) data for a geometry-optimized CsLiNdSe2 structure, as listed in Alexandria.

a = 8.5370 Å, b = 8.5370 Å, c = 6.7275 Å
α = 90.00°, β = 90.00°, γ = 133.17°
With the nearest neighbours (Å) after each atom.
Element x y z (fractional)
Cs: 0.2500 0.7500 0.7683  8 Se 3.95-4.08, 2 Li 4.22
Cs: 0.7500 0.2500 0.2317  8 Se 3.95-4.08, 2 Li 4.22
Li: 0.0000 0.0000 0.0000  2 Se 2.44
Li: 0.5000 0.5000 0.0000  2 Se 2.44
Nd: 0.2500 0.2500 0.5000  4 Se 2.92
Nd: 0.7500 0.7500 0.5000  4 Se 2.92
Se: 0.1099 0.8901 0.2563  1 Li 2.44
Se: 0.3901 0.6099 0.2563  1 Li 2.44
Se: 0.6099 0.3901 0.7437  1 Li 2.44
Se: 0.8901 0.1099 0.7437  1 Li 2.44

Computed properties:
symmetry = Cmme (67)
energy = -4.08 eV/atom
ΔE_f (raw) = -1.18 eV/atom
total magnetization = 0.74 μB per cell

Record 4
First-principles (PBE) data for a geometry-optimized CsLiNd2Te4 structure, as listed in Alexandria.

a = 8.2127 Å, b = 8.2127 Å, c = 16.1441 Å
α = 90.00°, β = 90.00°, γ = 147.16°
With the nearest neighbours (Å) after each atom.
Element x y z (fractional)
Cs: 0.1089 0.8911 0.7500  6 Te 3.74-3.86
Cs: 0.8911 0.1089 0.2500  6 Te 3.74-3.86
Li: 0.1679 0.8321 0.2500  4 Te 2.72-2.75
Li: 0.8321 0.1679 0.7500  4 Te 2.72-2.75
Nd: 0.3668 0.6332 0.5613  6 Te 3.17-3.28
Nd: 0.3668 0.6332 0.9387  6 Te 3.17-3.28
Nd: 0.6332 0.3668 0.0613  6 Te 3.17-3.28
Nd: 0.6332 0.3668 0.4387  6 Te 3.17-3.28
Te: 0.0000 0.0000 0.0000  4 Nd 3.28
Te: 0.0000 0.0000 0.5000  4 Nd 3.28
Te: 0.2620 0.7380 0.1069  1 Li 2.75
Te: 0.2620 0.7380 0.3931  1 Li 2.75
Te: 0.4225 0.5775 0.7500  2 Li 2.72
Te: 0.5775 0.4225 0.2500  2 Li 2.72
Te: 0.7380 0.2620 0.6069  1 Li 2.75
Te: 0.7380 0.2620 0.8931  1 Li 2.75

Computed properties:
symmetry = Cmcm (63)
energy = -4.47 eV/atom
ΔE_f (raw) = -1.36 eV/atom
total magnetization = 0.00 μB per cell

Record 5
First-principles (PBE) data for a geometry-optimized CsLi2Ni2 structure, as listed in Alexandria.

a = 7.8138 Å, b = 7.8138 Å, c = 3.1801 Å
α = 90.00°, β = 90.00°, γ = 90.00°
With the nearest neighbours (Å) after each atom.
Element x y z (fractional)
Cs: 0.0000 0.0000 0.0000  4 Ni 3.18, 2 Cs 3.18, 8 Li 3.37
Cs: 0.5000 0.5000 0.0000  4 Ni 3.18, 2 Cs 3.18, 8 Li 3.37
Li: 0.1500 0.3500 0.5000  4 Ni 2.59
Li: 0.3500 0.8500 0.5000  4 Ni 2.59
Li: 0.6500 0.1500 0.5000  4 Ni 2.59
Li: 0.8500 0.6500 0.5000  4 Ni 2.59
Ni: 0.1082 0.6082 0.0000  1 Ni 2.39, 4 Li 2.59
Ni: 0.3918 0.1082 0.0000  1 Ni 2.39, 4 Li 2.59
Ni: 0.6082 0.8918 0.0000  1 Ni 2.39, 4 Li 2.59
Ni: 0.8918 0.3918 0.0000  1 Ni 2.39, 4 Li 2.59

Computed properties:
symmetry = P4/mbm (127)
energy = -2.73 eV/atom
E_form = 0.516 eV/atom
total magnetization = 0.00 μB per cell

Record 6
First-principles (PBE) data for a geometry-optimized CsLiNi3 structure, as listed in Alexandria.

a = 4.8986 Å, b = 4.8986 Å, c = 4.8986 Å
α = 90.00°, β = 90.00°, γ = 90.00°
With the nearest neighbours (Å) after each atom.
Element x y z (fractional)
Cs: 0.0000 0.0000 0.0000  6 Ni 2.45
Li: 0.5000 0.5000 0.5000  12 Ni 3.46
Ni: 0.0000 0.0000 0.5000  2 Cs 2.45
Ni: 0.0000 0.5000 0.0000  2 Cs 2.45
Ni: 0.5000 0.0000 0.0000  2 Cs 2.45

Computed properties:
symmetry = Pm-3m (221)
energy = -2.19 eV/atom
E_form = 1.828 eV/atom
total magnetization = 0.00 μB per cell

Record 7
First-principles (PBE) data for a geometry-optimized Cs2LiNi structure, as listed in Alexandria.

a = 6.2869 Å, b = 6.2869 Å, c = 6.2869 Å
α = 60.00°, β = 60.00°, γ = 60.00°
With the nearest neighbours (Å) after each atom.
Element x y z (fractional)
Cs: 0.2500 0.2500 0.2500  4 Li 3.85, 4 Ni 3.85
Cs: 0.7500 0.7500 0.7500  4 Li 3.85, 4 Ni 3.85
Li: 0.0000 0.0000 0.0000  8 Cs 3.85
Ni: 0.5000 0.5000 0.5000  8 Cs 3.85

Computed properties:
symmetry = Fm-3m (225)
energy = -1.65 eV/atom
E_form = 0.703 eV/atom
total magnetization = 0.71 μB per cell

Record 8
First-principles (PBE) data for a geometry-optimized CsLiNi3 structure, as listed in Alexandria.

a = 4.5032 Å, b = 4.5032 Å, c = 4.5032 Å
α = 90.00°, β = 90.00°, γ = 90.00°
With the nearest neighbours (Å) after each atom.
Element x y z (fractional)
Cs: 0.0000 0.0000 0.0000  12 Ni 3.18
Li: 0.5000 0.5000 0.5000  6 Ni 2.25
Ni: 0.0000 0.5000 0.5000  2 Li 2.25
Ni: 0.5000 0.0000 0.5000  2 Li 2.25
Ni: 0.5000 0.5000 0.0000  2 Li 2.25

Computed properties:
symmetry = Pm-3m (221)
energy = -2.91 eV/atom
E_form = 1.114 eV/atom
total magnetization = 0.64 μB per cell